# 1
La5Bi3: relaxed, GGA-PBE.

Output
The value obtained for the energy of formation from the pure elements is -0.833 eV/atom. The value obtained for the density is 7.9 Mg/m³.

a b c (Å): 9.7347 9.7347 6.7296
angles (deg): 90.00 90.00 120.00
Space group P6_3/mcm (No. 193)
Symmetry-distinct sites (fractional):
La 0.0000 0.2518 0.2500 (multiplicity 6)
La 0.3333 0.6667 0.0000 (multiplicity 4)
Bi 0.0000 0.3849 0.7500 (multiplicity 6)


# 2
LiLaBi2: relaxed, GGA-PBE.

Output
The value obtained for the energy of formation from the pure elements is -0.539 eV/atom. The value obtained for the density is 7.8 Mg/m³.

a b c (Å): 7.814 7.814 7.814
angles (deg): 90.00 90.00 90.00
Space group Fm-3m (No. 225)
Symmetry-distinct sites (fractional):
Li 0.000 0.000 0.000 (multiplicity 4)
La 0.000 0.000 0.500 (multiplicity 4)
Bi 0.250 0.250 0.250 (multiplicity 8)


# 3
Li2La3Bi4: relaxed, GGA-PBE.

Output
The value obtained for the energy of formation from the pure elements is -0.795 eV/atom. The value obtained for the density is 7.5 Mg/m³.

a b c (Å): 14.557 4.667 9.727
angles (deg): 90.00 121.80 90.00
Space group C2/m (No. 12)
Symmetry-distinct sites (fractional):
Li 0.183 0.000 0.381 (multiplicity 4)
La 0.000 0.500 0.000 (multiplicity 2)
La 0.138 0.000 0.724 (multiplicity 4)
Bi 0.071 0.500 0.401 (multiplicity 4)
Bi 0.178 0.000 0.091 (multiplicity 4)


# 4
LiLaBi2: relaxed, GGA-PBE.

Output
The value obtained for the energy of formation from the pure elements is -0.645 eV/atom. The value obtained for the density is 8.0 Mg/m³.

a b c (Å): 5.094 5.094 4.501
angles (deg): 90.00 90.00 90.00
Space group P4/mmm (No. 123)
Symmetry-distinct sites (fractional):
Li 0.000 0.000 0.000 (multiplicity 1)
La 0.500 0.500 0.000 (multiplicity 1)
Bi 0.000 0.500 0.500 (multiplicity 2)


# 5
LiLaBi: relaxed, GGA-PBE.

Output
The value obtained for the energy of formation from the pure elements is -0.761 eV/atom. The value obtained for the density is 7.2 Mg/m³.

a b c (Å): 4.8876 4.8876 7.9300
angles (deg): 90.00 90.00 120.00
Space group P6_3/mmc (No. 194)
Symmetry-distinct sites (fractional):
Li 0.3333 0.6667 0.2500 (multiplicity 2)
La 0.0000 0.0000 0.0000 (multiplicity 2)
Bi 0.3333 0.6667 0.7500 (multiplicity 2)


# 6
LiLaBi: relaxed, GGA-PBE.

Output
The value obtained for the energy of formation from the pure elements is -0.579 eV/atom. The value obtained for the density is 7.1 Mg/m³.

a b c (Å): 6.916 6.916 6.916
angles (deg): 90.00 90.00 90.00
Space group F-43m (No. 216)
Symmetry-distinct sites (fractional):
Li 0.000 0.000 0.000 (multiplicity 4)
La 0.250 0.250 0.250 (multiplicity 4)
Bi 0.250 0.250 0.750 (multiplicity 4)


# 7
LiLaBi: relaxed, GGA-PBE.

Output
The value obtained for the energy of formation from the pure elements is -0.398 eV/atom. The value obtained for the density is 7.0 Mg/m³.

a b c (Å): 3.804 3.804 11.654
angles (deg): 90.00 90.00 90.00
Space group I4mm (No. 107)
Symmetry-distinct sites (fractional):
Li 0.000 0.000 0.000 (multiplicity 2)
La 0.000 0.000 0.301 (multiplicity 2)
Bi 0.000 0.000 0.604 (multiplicity 2)


# 8
Li5La3Bi12: relaxed, GGA-PBE.

Output
The value obtained for the energy of formation from the pure elements is -0.145 eV/atom. The value obtained for the density is 6.0 Mg/m³.

a b c (Å): 18.671 18.671 18.671
angles (deg): 90.00 90.00 90.00
Space group Ia-3d (No. 230)
Symmetry-distinct sites (fractional):
Li 0.000 0.000 0.000 (multiplicity 16)
Li 0.000 0.250 0.375 (multiplicity 24)
La 0.000 0.250 0.125 (multiplicity 24)
Bi 0.005 0.079 0.658 (multiplicity 96)


# 9
Li2LaBi: relaxed, GGA-PBE.

Output
The value obtained for the energy of formation from the pure elements is -0.300 eV/atom. The value obtained for the density is 5.1 Mg/m³.

a b c (Å): 4.637 4.637 21.792
angles (deg): 90.00 90.00 90.00
Space group I-42d (No. 122)
Symmetry-distinct sites (fractional):
Li 0.180 0.250 0.125 (multiplicity 8)
La 0.000 0.000 0.500 (multiplicity 4)
Bi 0.000 0.000 0.000 (multiplicity 4)


# 10
LiLa2Bi: relaxed, GGA-PBE.

Output
The value obtained for the energy of formation from the pure elements is -0.486 eV/atom. The value obtained for the density is 6.7 Mg/m³.

a b c (Å): 5.189 5.189 4.513
angles (deg): 90.00 90.00 90.00
Space group P4/mmm (No. 123)
Symmetry-distinct sites (fractional):
Li 0.000 0.000 0.000 (multiplicity 1)
La 0.000 0.500 0.500 (multiplicity 2)
Bi 0.500 0.500 0.000 (multiplicity 1)


# 11
LiLaBi: relaxed, GGA-PBE.

Output
The value obtained for the energy of formation from the pure elements is -0.744 eV/atom. The value obtained for the density is 7.1 Mg/m³.

a b c (Å): 4.6669 4.6669 4.4228
angles (deg): 90.00 90.00 120.00
Space group P-6m2 (No. 187)
Symmetry-distinct sites (fractional):
Li 0.0000 0.0000 0.0000 (multiplicity 1)
La 0.6667 0.3333 0.5000 (multiplicity 1)
Bi 0.3333 0.6667 0.0000 (multiplicity 1)


# 12
LiLa2Bi: relaxed, GGA-PBE.

Output
The value obtained for the energy of formation from the pure elements is 0.064 eV/atom. The value obtained for the density is 6.2 Mg/m³.

a b c (Å): 3.5439 3.5439 36.5135
angles (deg): 90.00 90.00 120.00
Space group R-3m (No. 166, hexagonal axes)
Symmetry-distinct sites (fractional):
Li 0.0000 0.0000 0.0000 (multiplicity 3)
La 0.0000 0.0000 0.4098 (multiplicity 6)
Bi 0.0000 0.0000 0.5000 (multiplicity 3)


# 13
Li3LaBi3: relaxed, GGA-PBE.

Output
The value obtained for the energy of formation from the pure elements is -0.411 eV/atom. The value obtained for the density is 6.6 Mg/m³.

a b c (Å): 9.2977 9.2977 15.9426
angles (deg): 90.00 90.00 120.00
Space group R-3 (No. 148, hexagonal axes)
Symmetry-distinct sites (fractional):
Li 0.0100 0.7647 0.4220 (multiplicity 18)
La 0.0000 0.0000 0.2183 (multiplicity 6)
Bi 0.0323 0.7483 0.9180 (multiplicity 18)


# 14
LiLa2Bi2: relaxed, GGA-PBE.

Output
The value obtained for the energy of formation from the pure elements is -0.769 eV/atom. The value obtained for the density is 7.1 Mg/m³.

a b c (Å): 8.584 8.584 4.444
angles (deg): 90.00 90.00 90.00
Space group P4/mbm (No. 127)
Symmetry-distinct sites (fractional):
Li 0.000 0.000 0.000 (multiplicity 2)
La 0.150 0.350 0.500 (multiplicity 4)
Bi 0.158 0.658 0.000 (multiplicity 4)


# 15
Li3La4Bi8: relaxed, GGA-PBE.

Output
The value obtained for the energy of formation from the pure elements is -0.713 eV/atom. The value obtained for the density is 8.4 Mg/m³.

a b c (Å): 4.621 4.621 20.822
angles (deg): 90.00 90.00 90.00
Space group P-4m2 (No. 115)
Symmetry-distinct sites (fractional):
Li 0.000 0.000 0.000 (multiplicity 1)
Li 0.000 0.000 0.500 (multiplicity 1)
Li 0.500 0.500 0.000 (multiplicity 1)
La 0.000 0.500 0.132 (multiplicity 2)
La 0.000 0.500 0.614 (multiplicity 2)
Bi 0.000 0.000 0.259 (multiplicity 2)
Bi 0.000 0.500 0.430 (multiplicity 2)
Bi 0.000 0.500 0.917 (multiplicity 2)
Bi 0.500 0.500 0.258 (multiplicity 2)


# 16
LiLaBi2: relaxed, GGA-PBE.

Output
The value obtained for the energy of formation from the pure elements is -0.551 eV/atom. The value obtained for the density is 7.8 Mg/m³.

a b c (Å): 4.163 4.163 6.897
angles (deg): 90.00 90.00 90.00
Space group P4/mmm (No. 123)
Symmetry-distinct sites (fractional):
Li 0.000 0.000 0.000 (multiplicity 1)
La 0.000 0.000 0.500 (multiplicity 1)
Bi 0.500 0.500 0.237 (multiplicity 2)


# 17
LiLaBi: relaxed, GGA-PBE.

Output
The value obtained for the energy of formation from the pure elements is -0.760 eV/atom. The value obtained for the density is 7.2 Mg/m³.

a b c (Å): 7.868 4.900 8.500
angles (deg): 90.00 90.00 90.00
Space group Pnma (No. 62)
Symmetry-distinct sites (fractional):
Li 0.222 0.250 0.082 (multiplicity 4)
La 0.001 0.250 0.736 (multiplicity 4)
Bi 0.240 0.750 0.916 (multiplicity 4)


# 18
Li3LaBi2: relaxed, GGA-PBE.

Output
The value obtained for the energy of formation from the pure elements is -0.737 eV/atom. The value obtained for the density is 6.5 Mg/m³.

a b c (Å): 4.7520 4.7520 7.5891
angles (deg): 90.00 90.00 120.00
Space group P-3m1 (No. 164)
Symmetry-distinct sites (fractional):
Li 0.0000 0.0000 0.0000 (multiplicity 1)
Li 0.3333 0.6667 0.1440 (multiplicity 2)
La 0.0000 0.0000 0.5000 (multiplicity 1)
Bi 0.3333 0.6667 0.7551 (multiplicity 2)


# 19
LiLa2Bi: relaxed, GGA-PBE.

Output
The value obtained for the energy of formation from the pure elements is -0.429 eV/atom. The value obtained for the density is 6.6 Mg/m³.

a b c (Å): 4.283 4.283 6.769
angles (deg): 90.00 90.00 90.00
Space group P4/mmm (No. 123)
Symmetry-distinct sites (fractional):
Li 0.000 0.000 0.000 (multiplicity 1)
La 0.500 0.500 0.256 (multiplicity 2)
Bi 0.000 0.000 0.500 (multiplicity 1)


# 20
Li3LaBi2: relaxed, GGA-PBE.

Output
The value obtained for the energy of formation from the pure elements is -0.671 eV/atom. The value obtained for the density is 6.4 Mg/m³.

a b c (Å): 17.992 4.570 11.095
angles (deg): 90.00 100.50 90.00
Space group C2/m (No. 12)
Symmetry-distinct sites (fractional):
Li 0.000 0.000 0.000 (multiplicity 2)
Li 0.051 0.500 0.839 (multiplicity 4)
Li 0.120 0.000 0.724 (multiplicity 4)
Li 0.180 0.000 0.486 (multiplicity 4)
Li 0.208 0.500 0.901 (multiplicity 4)
La 0.000 0.500 0.500 (multiplicity 2)
La 0.171 0.500 0.218 (multiplicity 4)
Bi 0.045 0.000 0.301 (multiplicity 4)
Bi 0.145 0.000 0.987 (multiplicity 4)
Bi 0.191 0.500 0.641 (multiplicity 4)